Record 1
NbVCoRu | PBE | optimized geometry

Geometry as POSCAR:
```
NbVCoRu
1.0
0.000 3.062 3.062
3.062 0.000 3.062
3.062 3.062 0.000
Nb V Co Ru
1 1 1 1
Cartesian
0.000 0.000 0.000
3.062 3.062 3.062
4.593 4.593 4.593
1.531 1.531 1.531
```

Calculated values
crystal system	cubic
ΔE_f	-0.096	eV per atom
total magnetic moment	2.58	μB/f.u.



Record 2
UBiS | PBE | optimized geometry

Geometry as POSCAR:
```
UBiS
1.0
-1.725 1.725 6.520
1.725 -1.725 6.520
1.725 1.725 -6.520
U Bi S
1 1 1
Cartesian
0.000 0.000 0.000
0.000 0.000 3.984
0.000 0.000 7.723
```

Calculated values
ΔE to the lowest computed polymorph	0.0000	eV/atom
formation energy from raw total energies	-0.65	eV per atom
crystal system	tetragonal
total magnetic moment	2.40	μB/f.u.



Record 3
PmPuN | PBE | optimized geometry

Geometry as POSCAR:
```
PmPuN
1.0
-1.585 1.585 6.150
1.585 -1.585 6.150
1.585 1.585 -6.150
Pm Pu N
1 1 1
Cartesian
0.000 0.000 0.000
0.000 0.000 9.345
0.000 0.000 4.163
```

Calculated values
ΔE to the lowest computed polymorph	0.5026	eV/atom
formation energy from raw total energies	-0.26	eV per atom
crystal system	tetragonal
total magnetic moment	5.32	μB/f.u.



Record 4
RbTc2IrRh | PBE | optimized geometry

Geometry as POSCAR:
```
RbTc2IrRh
1.0
4.898 0.000 0.000
0.000 4.898 0.000
0.000 0.000 4.942
Rb Tc Ir Rh
1 2 1 1
Cartesian
0.000 0.000 0.000
0.000 2.449 2.471
2.449 0.000 2.471
2.449 2.449 0.000
2.449 2.449 2.471
```

Calculated values
crystal system	tetragonal
ΔE_f	1.758	eV per atom
total magnetic moment	5.77	μB/f.u.



Record 5
ScInFe2 | PBE | optimized geometry

Geometry as POSCAR:
```
ScInFe2
1.0
0.000 3.196 3.196
3.196 0.000 3.196
3.196 3.196 0.000
Sc In Fe
1 1 2
Cartesian
0.000 0.000 0.000
4.794 4.794 4.794
1.598 1.598 1.598
3.196 3.196 3.196
```

Calculated values
crystal system	cubic
ΔE_f	0.057	eV per atom
total magnetic moment	4.31	μB/f.u.



Record 6
Tb3Pm3Er2 | PBE | optimized geometry

Geometry as POSCAR:
```
Tb3Pm3Er2
1.0
-2.532 2.534 10.111
2.532 -2.534 10.111
2.532 2.534 -10.111
Tb Pm Er
3 3 2
Cartesian
0.000 0.000 0.000
2.532 0.000 2.563
0.000 2.534 7.548
2.532 0.000 7.561
0.000 0.000 10.111
0.000 2.534 2.550
0.000 0.000 5.063
0.000 0.000 15.160
```

Calculated values
ΔE to the lowest computed polymorph	0.0023	eV/atom
crystal system	orthorhombic
ΔE_f	0.020	eV per atom
total magnetic moment	0.00	μB/f.u.



The lowest total magnetic moment belongs to which entry? Tb3Pm3Er2



Please write out number 2 again, unchanged.
UBiS | PBE | optimized geometry

Geometry as POSCAR:
```
UBiS
1.0
-1.725 1.725 6.520
1.725 -1.725 6.520
1.725 1.725 -6.520
U Bi S
1 1 1
Cartesian
0.000 0.000 0.000
0.000 0.000 3.984
0.000 0.000 7.723
```

Calculated values
ΔE to the lowest computed polymorph	0.0000	eV/atom
formation energy from raw total energies	-0.65	eV per atom
crystal system	tetragonal
total magnetic moment	2.40	μB/f.u.



Please write out number 4 again, unchanged.
RbTc2IrRh | PBE | optimized geometry

Geometry as POSCAR:
```
RbTc2IrRh
1.0
4.898 0.000 0.000
0.000 4.898 0.000
0.000 0.000 4.942
Rb Tc Ir Rh
1 2 1 1
Cartesian
0.000 0.000 0.000
0.000 2.449 2.471
2.449 0.000 2.471
2.449 2.449 0.000
2.449 2.449 2.471
```

Calculated values
crystal system	tetragonal
ΔE_f	1.758	eV per atom
total magnetic moment	5.77	μB/f.u.



Which value of total magnetic moment does entry 2 give? 2.40 μB/f.u.